# 1
Here is RbSiAu3 after structural relaxation from the Alexandria database. Energies are from GGA-PBE. Values from VASP.

Geometry as Quantum ESPRESSO input:
```
&SYSTEM
  ibrav = 0, nat = 10, ntyp = 3
/
ATOMIC_SPECIES
Rb 85.47 Rb.upf
Si 28.09 Si.upf
Au 196.97 Au.upf
CELL_PARAMETERS angstrom
3.356 1.938 6.929
-3.356 1.938 6.929
0.000 -3.875 6.929
ATOMIC_POSITIONS crystal
Rb 0.111 0.111 0.111
Rb 0.889 0.889 0.889
Si 0.442 0.442 0.442
Si 0.558 0.558 0.558
Au 0.015 0.594 0.594
Au 0.406 0.406 0.985
Au 0.406 0.985 0.406
Au 0.594 0.015 0.594
Au 0.594 0.594 0.015
Au 0.985 0.406 0.406
```

polymorph energy (0 for the lowest one): 0.1001 eV/atom
formation energy from raw total energies: -174 meV per atom


# 2
Here is RbSb2Pb after structural relaxation from the Alexandria database. Energies are from GGA-PBE. Values from VASP.

Geometry as Quantum ESPRESSO input:
```
&SYSTEM
  ibrav = 0, nat = 4, ntyp = 3
/
ATOMIC_SPECIES
Rb 85.47 Rb.upf
Sb 121.76 Sb.upf
Pb 207.20 Pb.upf
CELL_PARAMETERS angstrom
2.072 1.197 9.885
-2.072 1.197 9.885
0.000 -2.393 9.885
ATOMIC_POSITIONS crystal
Rb 0.000 0.000 0.000
Sb 0.236 0.236 0.236
Sb 0.764 0.764 0.764
Pb 0.500 0.500 0.500
```

formation energy from raw total energies: 55 meV per atom


# 3
Here is CdCo2W after structural relaxation from the Alexandria database. Energies are from GGA-PBE. Values from VASP.

Geometry as Quantum ESPRESSO input:
```
&SYSTEM
  ibrav = 0, nat = 8, ntyp = 3
/
ATOMIC_SPECIES
Cd 112.41 Cd.upf
Co 58.93 Co.upf
W 183.84 W.upf
CELL_PARAMETERS angstrom
-3.381 3.381 2.772
3.381 -3.381 2.772
3.381 3.381 -2.772
ATOMIC_POSITIONS crystal
Cd 0.000 0.000 0.000
Cd 0.750 0.250 0.500
Co 0.167 0.625 0.042
Co 0.375 0.417 0.542
Co 0.583 0.125 0.958
Co 0.875 0.833 0.458
W 0.250 0.750 0.500
W 0.500 0.500 0.000
```

electronic total energy: -50.1 eV for the cell shown


# 4
Here is Ir2AuBr after structural relaxation from the Alexandria database. Energies are from GGA-PBE. Values from VASP.

Geometry as Quantum ESPRESSO input:
```
&SYSTEM
  ibrav = 0, nat = 4, ntyp = 3
/
ATOMIC_SPECIES
Ir 192.22 Ir.upf
Au 196.97 Au.upf
Br 79.90 Br.upf
CELL_PARAMETERS angstrom
-2.277 2.305 3.265
2.277 -2.305 3.265
2.277 2.305 -3.265
ATOMIC_POSITIONS crystal
Ir 0.000 0.000 0.000
Ir 0.747 0.247 0.500
Au 0.493 0.493 0.000
Br 0.237 0.737 0.500
```

polymorph energy (0 for the lowest one): 0.6391 eV/atom
formation energy from raw total energies: 1093 meV per atom


# 5
Here is FePdSe2N after structural relaxation from the Alexandria database. Energies are from GGA-PBE. Values from VASP.

Geometry as Quantum ESPRESSO input:
```
&SYSTEM
  ibrav = 0, nat = 5, ntyp = 4
/
ATOMIC_SPECIES
Fe 55.84 Fe.upf
Pd 106.42 Pd.upf
Se 78.96 Se.upf
N 14.01 N.upf
CELL_PARAMETERS angstrom
4.873 0.000 0.000
0.000 4.873 0.000
0.000 0.000 3.344
ATOMIC_POSITIONS crystal
Fe 0.000 0.000 0.000
Pd 0.500 0.500 0.500
Se 0.000 0.500 0.000
Se 0.500 0.000 0.000
N 0.000 0.000 0.500
```

polymorph energy (0 for the lowest one): 0.0000 eV/atom
formation energy from raw total energies: 299 meV per atom


# 6
Here is Rb2MgGaSi after structural relaxation from the Alexandria database. Energies are from GGA-PBE. Values from VASP.

Geometry as Quantum ESPRESSO input:
```
&SYSTEM
  ibrav = 0, nat = 5, ntyp = 4
/
ATOMIC_SPECIES
Rb 85.47 Rb.upf
Mg 24.30 Mg.upf
Ga 69.72 Ga.upf
Si 28.09 Si.upf
CELL_PARAMETERS angstrom
6.937 0.000 0.000
0.000 6.937 0.000
0.000 0.000 4.575
ATOMIC_POSITIONS crystal
Rb 0.000 0.500 0.000
Rb 0.500 0.000 0.000
Mg 0.000 0.000 0.500
Ga 0.500 0.500 0.000
Si 0.500 0.500 0.500
```

formation energy from raw total energies: 357 meV per atom


# 7
Here is Er2Mg2Pb5 after structural relaxation from the Alexandria database. Energies are from GGA-PBE. Values from VASP.

Geometry as Quantum ESPRESSO input:
```
&SYSTEM
  ibrav = 0, nat = 18, ntyp = 3
/
ATOMIC_SPECIES
Er 167.26 Er.upf
Mg 24.30 Mg.upf
Pb 207.20 Pb.upf
CELL_PARAMETERS angstrom
-7.963 4.856 3.433
7.963 -4.856 3.433
7.963 4.856 -3.433
ATOMIC_POSITIONS crystal
Er 0.000 0.000 0.000
Er 0.000 0.500 0.500
Er 0.800 0.570 0.730
Er 0.841 0.070 0.270
Mg 0.444 0.054 0.594
Mg 0.444 0.350 0.890
Mg 0.461 0.554 0.110
Mg 0.461 0.850 0.406
Pb 0.281 0.751 0.030
Pb 0.356 0.280 0.369
Pb 0.356 0.487 0.576
Pb 0.494 0.169 0.198
Pb 0.494 0.795 0.824
Pb 0.721 0.251 0.970
Pb 0.911 0.780 0.424
Pb 0.911 0.987 0.631
Pb 0.971 0.295 0.802
Pb 0.971 0.669 0.176
```

electronic total energy: -63.9 eV for the cell shown


# 8
Here is MgSnHg3 after structural relaxation from the Alexandria database. Energies are from GGA-PBE. Values from VASP.

Geometry as Quantum ESPRESSO input:
```
&SYSTEM
  ibrav = 0, nat = 20, ntyp = 3
/
ATOMIC_SPECIES
Mg 24.30 Mg.upf
Sn 118.71 Sn.upf
Hg 200.59 Hg.upf
CELL_PARAMETERS angstrom
10.202 0.000 0.000
0.000 3.705 0.000
0.000 0.000 13.156
ATOMIC_POSITIONS crystal
Mg 0.117 0.250 0.139
Mg 0.383 0.750 0.639
Mg 0.617 0.250 0.361
Mg 0.883 0.750 0.861
Sn 0.137 0.250 0.517
Sn 0.363 0.750 0.017
Sn 0.637 0.250 0.983
Sn 0.863 0.750 0.483
Hg 0.104 0.250 0.922
Hg 0.120 0.750 0.719
Hg 0.129 0.750 0.315
Hg 0.371 0.250 0.815
Hg 0.380 0.250 0.219
Hg 0.396 0.750 0.422
Hg 0.604 0.250 0.578
Hg 0.620 0.750 0.781
Hg 0.629 0.750 0.185
Hg 0.871 0.250 0.685
Hg 0.880 0.250 0.281
Hg 0.896 0.750 0.078
```

polymorph energy (0 for the lowest one): 0.0000 eV/atom